No. 1
Here is an optimized crystal structure of In2AgAsRh from the Alexandria database. Energies are from PBE.

Lattice parameters (Å, degrees): 5.385 5.385 4.571 90.00 90.00 90.00
Atoms (fractional coordinates):
In: 0.000 0.500 0.000
In: 0.500 0.000 0.000
Ag: 0.500 0.500 0.500
As: 0.000 0.000 0.000
Rh: 0.000 0.000 0.500

Values from the calculation:
Energy relative to the elements ... 2.383 eV/f.u.
Total magnetization ... 0.00 μB per formula unit

=====

No. 2
Here is an optimized crystal structure of InAgAsS4 from the Alexandria database. Energies are from PBE.

Lattice parameters (Å, degrees): 5.840 5.840 6.706 115.81 115.81 90.00
Atoms (fractional coordinates):
S: 0.887 0.395 0.279
S: 0.392 0.883 0.279
S: 0.605 0.608 0.721
S: 0.117 0.113 0.721
As: 0.250 0.750 0.500
Ag: 0.000 0.000 0.000
In: 0.500 0.500 0.000

Values from the calculation:
Raw total energy ... -3.96 eV per atom
Total magnetization ... 0.49 μB per formula unit

=====

No. 3
Here is an optimized crystal structure of InAg2AsS4 from the Alexandria database. Energies are from PBE.

Lattice parameters (Å, degrees): 5.201 6.259 7.685 122.67 110.48 89.26
Atoms (fractional coordinates):
S: 0.412 0.850 0.208
S: 0.083 0.077 0.696
S: 0.875 0.408 0.249
S: 0.658 0.599 0.739
Ag: 0.475 0.991 0.951
Ag: 0.231 0.226 0.479
As: 0.679 0.741 0.465
In: 0.974 0.496 0.988

Values from the calculation:
Raw total energy ... -3.89 eV per atom
Total magnetization ... 0.00 μB per formula unit